# 1
This record from Alexandria describes a geometry-optimized BeCrIr2 structure. The functional is PBE-GGA.

energy: -7.757 eV/atom
total moment: 3.8 Bohr magnetons per cell
formation energy: 0.011 eV/atom

Geometry as CIF:
```
data_BeCrIr2
_cell_length_a 2.797
_cell_length_b 4.595
_cell_length_c 8.039
_cell_angle_alpha 90.00
_cell_angle_beta 90.00
_cell_angle_gamma 90.00
_symmetry_space_group_name_H-M 'C m m m'
_symmetry_Int_Tables_number 65
_symmetry_space_group_name_Hall '-C 2 2'
loop_
_atom_site_label
_atom_site_type_symbol
_atom_site_fract_x
_atom_site_fract_y
_atom_site_fract_z
Be1 Be 0.000 0.000 0.000
Cr1 Cr 0.000 0.000 0.500
Ir1 Ir 0.000 0.500 0.231
```



# 2
This record from Alexandria describes a geometry-optimized MgScInNi structure. The functional is PBE-GGA.

energy: -4.369 eV/atom
total moment: 0.0 Bohr magnetons per cell
formation energy: -0.258 eV/atom

Geometry as CIF:
```
data_MgScInNi
_cell_length_a 6.664
_cell_length_b 6.664
_cell_length_c 6.664
_cell_angle_alpha 90.00
_cell_angle_beta 90.00
_cell_angle_gamma 90.00
_symmetry_space_group_name_H-M 'F -4 3 m'
_symmetry_Int_Tables_number 216
_symmetry_space_group_name_Hall 'F -4 2 3'
loop_
_atom_site_label
_atom_site_type_symbol
_atom_site_fract_x
_atom_site_fract_y
_atom_site_fract_z
Mg1 Mg 0.000 0.000 0.000
Sc1 Sc 0.000 0.000 0.500
In1 In 0.250 0.250 0.750
Ni1 Ni 0.250 0.250 0.250
```



# 3
This record from Alexandria describes a geometry-optimized Hf4MoN2 structure. The functional is PBE-GGA.

energy: -10.550 eV/atom
formation energy without anion corrections: -0.937 eV/atom
total moment: 0.0 Bohr magnetons per cell

Geometry as CIF:
```
data_Hf4MoN2
_cell_length_a 3.344
_cell_length_b 11.120
_cell_length_c 11.634
_cell_angle_alpha 90.00
_cell_angle_beta 90.00
_cell_angle_gamma 90.00
_symmetry_space_group_name_H-M 'C m c m'
_symmetry_Int_Tables_number 63
_symmetry_space_group_name_Hall '-C 2c 2'
loop_
_atom_site_label
_atom_site_type_symbol
_atom_site_fract_x
_atom_site_fract_y
_atom_site_fract_z
Hf1 Hf 0.000 0.000 0.000
Hf2 Hf 0.000 0.269 0.109
Hf3 Hf 0.000 0.419 0.750
Mo1 Mo 0.000 0.101 0.750
N1 N 0.000 0.366 0.557
```



# 4
This record from Alexandria describes a geometry-optimized InFeRe2W structure. The functional is PBE-GGA.

energy: -7.335 eV/atom
total moment: 1.4 Bohr magnetons per cell
formation energy: 2.475 eV/atom

Geometry as CIF:
```
data_InFeRe2W
_cell_length_a 4.736
_cell_length_b 4.736
_cell_length_c 5.100
_cell_angle_alpha 90.00
_cell_angle_beta 90.00
_cell_angle_gamma 90.00
_symmetry_space_group_name_H-M 'P 4/m m m'
_symmetry_Int_Tables_number 123
_symmetry_space_group_name_Hall '-P 4 2'
loop_
_atom_site_label
_atom_site_type_symbol
_atom_site_fract_x
_atom_site_fract_y
_atom_site_fract_z
In1 In 0.000 0.000 0.000
Fe1 Fe 0.500 0.500 0.000
Re1 Re 0.000 0.500 0.500
W1 W 0.000 0.000 0.500
```



# 5
This record from Alexandria describes a geometry-optimized ScCr2 structure. The functional is PBE-GGA.

energy: -8.326 eV/atom
total moment: 0.0 Bohr magnetons per cell
formation energy: 0.200 eV/atom

Geometry as CIF:
```
data_ScCr2
_cell_length_a 3.106
_cell_length_b 12.920
_cell_length_c 4.518
_cell_angle_alpha 90.00
_cell_angle_beta 90.00
_cell_angle_gamma 90.00
_symmetry_space_group_name_H-M 'C m c m'
_symmetry_Int_Tables_number 63
_symmetry_space_group_name_Hall '-C 2c 2'
loop_
_atom_site_label
_atom_site_type_symbol
_atom_site_fract_x
_atom_site_fract_y
_atom_site_fract_z
Sc1 Sc 0.000 0.080 0.250
Cr1 Cr 0.000 0.241 0.750
Cr2 Cr 0.000 0.381 0.250
```



# 6
This record from Alexandria describes a geometry-optimized Dy5Y4Ho4 structure. The functional is PBE-GGA.

energy: -5.147 eV/atom
total moment: 0.0 Bohr magnetons per cell
formation energy: 0.020 eV/atom

Geometry as CIF:
```
data_Dy5Y4Ho4
_cell_length_a 12.792
_cell_length_b 12.792
_cell_length_c 5.003
_cell_angle_alpha 90.00
_cell_angle_beta 90.00
_cell_angle_gamma 90.00
_symmetry_space_group_name_H-M 'I 4/m'
_symmetry_Int_Tables_number 87
_symmetry_space_group_name_Hall '-I 4'
loop_
_atom_site_label
_atom_site_type_symbol
_atom_site_fract_x
_atom_site_fract_y
_atom_site_fract_z
Dy1 Dy 0.000 0.000 0.000
Dy2 Dy 0.039 0.809 0.500
Y1 Y 0.078 0.616 0.000
Ho1 Ho 0.154 0.230 0.000
```



# 7
This record from Alexandria describes a geometry-optimized Tl2OsCl structure. The functional is PBE-GGA.

energy: -3.851 eV/atom
formation energy without anion corrections: 0.601 eV/atom
total moment: 0.0 Bohr magnetons per cell

Geometry as CIF:
```
data_Tl2OsCl
_cell_length_a 3.098
_cell_length_b 5.785
_cell_length_c 10.495
_cell_angle_alpha 90.00
_cell_angle_beta 90.00
_cell_angle_gamma 90.00
_symmetry_space_group_name_H-M 'C m m 2'
_symmetry_Int_Tables_number 35
loop_
_symmetry_equiv_pos_as_xyz
'x,y,z'
'-x,-y,z'
'-x,y,z'
'x,-y,z'
'x+1/2,y+1/2,z'
'-x+1/2,-y+1/2,z'
'-x+1/2,y+1/2,z'
'x+1/2,-y+1/2,z'
loop_
_atom_site_label
_atom_site_type_symbol
_atom_site_fract_x
_atom_site_fract_y
_atom_site_fract_z
Tl1 Tl 0.000 0.000 0.000
Tl2 Tl 0.000 0.500 0.287
Os1 Os 0.000 0.000 0.517
Cl1 Cl 0.000 0.500 0.686
```



# 8
This record from Alexandria describes a geometry-optimized CsLaFeCl6 structure. The functional is PBE-GGA.

energy: -4.549 eV/atom
formation energy without anion corrections: -1.735 eV/atom
total moment: 8.0 Bohr magnetons per cell

Geometry as CIF:
```
data_CsLaFeCl6
_cell_length_a 6.955
_cell_length_b 12.067
_cell_length_c 7.744
_cell_angle_alpha 90.00
_cell_angle_beta 90.02
_cell_angle_gamma 90.00
_symmetry_space_group_name_H-M 'C 1 2 1'
_symmetry_Int_Tables_number 5
loop_
_symmetry_equiv_pos_as_xyz
'x,y,z'
'-x,y,-z'
'x+1/2,y+1/2,z'
'-x+1/2,y+1/2,-z'
loop_
_atom_site_label
_atom_site_type_symbol
_atom_site_fract_x
_atom_site_fract_y
_atom_site_fract_z
Cs1 Cs 0.000 0.000 0.000
La1 La 0.000 0.334 0.500
Fe1 Fe 0.000 0.667 0.500
Cl1 Cl 0.123 0.516 0.695
Cl2 Cl 0.163 0.805 0.693
Cl3 Cl 0.210 0.178 0.691
```